{"formula": "KLiCuHg2", "functional": "PBE", "state": "optimized geometry", "spacegroup": "No. 123", "rho_g_cm3": 6.28, "volume_a3_per_atom": 27.03, "delta_e_f_ev_per_atom": -0.06, "final_energy_ev_per_atom": -1.605, "n_ef_per_ev_cell": 1.9, "cell": [[5.187, 0.000, 0.000], [0.000, 5.187, 0.000], [0.000, 0.000, 5.023]], "species": ["K", "Li", "Cu", "Hg", "Hg"], "frac_coords": [[0.000, 0.000, 0.000], [0.500, 0.500, 0.000], [0.500, 0.500, 0.500], [0.000, 0.500, 0.500], [0.500, 0.000, 0.500]]}